[1]
DFT (PBE) results for an optimized crystal structure of MnFeHg2.

- ΔE to the lowest computed polymorph: 5.3 kJ/mol of atoms
- ΔH_f (0 K): 0.417 eV per atom
- D(E_F): 3.66 states/eV/cell
- Calculated total energy: -0.15221 Ha/atom

Lattice parameters (Å, degrees): 4.9020 4.9020 2.9809 90.00 90.00 105.96
With the nearest neighbours (Å) after each atom.
Positions (direct):
Mn 0.0000 0.0000 0.0000  8 Hg 2.87, 2 Fe 2.95, 2 Mn 2.98
Fe 0.5000 0.5000 0.0000  8 Hg 2.87, 2 Mn 2.95, 2 Fe 2.98
Hg 0.0000 0.5000 0.5000  4 Mn 2.87, 4 Fe 2.87, 4 Hg 2.95-2.98
Hg 0.5000 0.0000 0.5000  4 Mn 2.87, 4 Fe 2.87, 4 Hg 2.95-2.98

[2]
DFT (PBE) results for an optimized crystal structure of Co2SiPb.

- ΔE to the lowest computed polymorph: 2.9 kJ/mol of atoms
- Formation energy (no corrections): 27.1 kJ/mol of formula units
- D(E_F): 3.94 states/eV/cell
- Calculated total energy: -0.21188 Ha/atom

Lattice parameters (Å, degrees): 3.7540 3.7540 5.4993 108.02 108.02 60.13
With the nearest neighbours (Å) after each atom.
Positions (direct):
Co 0.2085 0.2085 0.1383  3 Si 2.28
Co 0.7915 0.7915 0.8617  3 Si 2.28
Si 0.5000 0.5000 0.0000  6 Co 2.28
Pb 0.0000 0.0000 0.5000  6 Co 2.78-2.90